VASP calculation (PBE-GGA) on an optimized crystal structure of CuRhS2.

POSCAR file:
```
CuRhS2
1.0
6.5065 0.0000 0.0000
0.0000 3.4986 0.0000
-0.7796 0.0000 5.4740
Cu Rh S
2 2 4
Direct
0.0000 0.0000 0.0000 Cu
0.5000 0.5000 0.0000 Cu
0.0000 0.0000 0.5000 Rh
0.5000 0.5000 0.5000 Rh
0.1527 0.5000 0.2735 S
0.3473 0.0000 0.7265 S
0.6527 0.0000 0.2735 S
0.8473 0.5000 0.7265 S
```

Symmetry: C2/m
Raw formation energy in eV per atom: -0.252

***

VASP calculation (PBE-GGA) on an optimized crystal structure of Y2HfB.

POSCAR file:
```
Y2HfB
1.0
9.3600 0.0000 0.0000
0.0000 9.3600 0.0000
0.0000 0.0000 4.6171
Y Hf B
8 4 4
Direct
0.1073 0.7500 0.1250 Y
0.2500 0.1073 0.8750 Y
0.2500 0.3927 0.3750 Y
0.3927 0.7500 0.6250 Y
0.6073 0.2500 0.6250 Y
0.7500 0.6073 0.3750 Y
0.7500 0.8927 0.8750 Y
0.8927 0.2500 0.1250 Y
0.0000 0.0000 0.5000 Hf
0.0000 0.5000 0.7500 Hf
0.5000 0.0000 0.2500 Hf
0.5000 0.5000 0.0000 Hf
0.0000 0.0000 0.0000 B
0.0000 0.5000 0.2500 B
0.5000 0.0000 0.7500 B
0.5000 0.5000 0.5000 B
```

Symmetry: I-42d
ΔE_f in eV per formula unit: 1.26

***

VASP calculation (PBE-GGA) on an optimized crystal structure of ZrTa2Fe.

POSCAR file:
```
ZrTa2Fe
1.0
3.8150 0.0000 0.0000
0.0000 3.8150 0.0000
0.0000 0.0000 20.2747
Zr Ta Fe
4 8 4
Direct
0.0000 0.0000 0.0000 Zr
0.0000 0.5000 0.2500 Zr
0.5000 0.0000 0.7500 Zr
0.5000 0.5000 0.5000 Zr
0.2447 0.2500 0.6250 Ta
0.2500 0.7447 0.8750 Ta
0.2500 0.7553 0.3750 Ta
0.2553 0.2500 0.1250 Ta
0.7447 0.7500 0.1250 Ta
0.7500 0.2447 0.3750 Ta
0.7500 0.2553 0.8750 Ta
0.7553 0.7500 0.6250 Ta
0.0000 0.0000 0.5000 Fe
0.0000 0.5000 0.7500 Fe
0.5000 0.0000 0.2500 Fe
0.5000 0.5000 0.0000 Fe
```

Symmetry: I-42d
ΔE_f in eV per formula unit: 2.39